Record 1
# Fe2AsBr, relaxed, DFT PBE
data_Fe2AsBr
_chemical_formula_sum 'Fe4 As2 Br2'
_symmetry_space_group_name_H-M 'C 1 m 1'
_symmetry_Int_Tables_number 8
_symmetry_space_group_name_Hall 'C -2y'
_cell_length_a 7.298
_cell_length_b 3.252
_cell_length_c 7.101
_cell_angle_alpha 90.00
_cell_angle_beta 100.06
_cell_angle_gamma 90.00
loop_
_atom_site_label
_atom_site_type_symbol
_atom_site_fract_x
_atom_site_fract_y
_atom_site_fract_z
Fe1 Fe 0.000 0.000 0.000
Fe2 Fe 0.233 0.500 0.156
As1 As 0.271 0.000 0.868
Br1 Br 0.468 0.000 0.372
# - Uncorrected energy: -5.681 eV/atom
# - Formation energy without anion corrections: 0.5 eV/f.u.
# - Crystal system: monoclinic
# - M_tot: 10.0 μB/cell

Record 2
# Tl3CoAu, relaxed, DFT PBE
data_Tl3CoAu
_chemical_formula_sum 'Tl3 Co1 Au1'
_symmetry_space_group_name_H-M 'P m -3 m'
_symmetry_Int_Tables_number 221
_symmetry_space_group_name_Hall '-P 4 2 3'
_cell_length_a 5.061
_cell_length_b 5.061
_cell_length_c 5.061
_cell_angle_alpha 90.00
_cell_angle_beta 90.00
_cell_angle_gamma 90.00
loop_
_atom_site_label
_atom_site_type_symbol
_atom_site_fract_x
_atom_site_fract_y
_atom_site_fract_z
Tl1 Tl 0.000 0.000 0.500
Co1 Co 0.000 0.000 0.000
Au1 Au 0.500 0.500 0.500
# - Uncorrected energy: -3.233 eV/atom
# - Crystal system: cubic
# - ΔE_f: 0.26 eV/atom
# - M_tot: 0.0 μB/cell

Record 3
# CoNi3B, relaxed, DFT PBE
data_CoNi3B
_chemical_formula_sum 'Co1 Ni3 B1'
_symmetry_space_group_name_H-M 'P m -3 m'
_symmetry_Int_Tables_number 221
_symmetry_space_group_name_Hall '-P 4 2 3'
_cell_length_a 3.784
_cell_length_b 3.784
_cell_length_c 3.784
_cell_angle_alpha 90.00
_cell_angle_beta 90.00
_cell_angle_gamma 90.00
loop_
_atom_site_label
_atom_site_type_symbol
_atom_site_fract_x
_atom_site_fract_y
_atom_site_fract_z
Co1 Co 0.000 0.000 0.000
Ni1 Ni 0.000 0.500 0.500
B1 B 0.500 0.500 0.500
# - Uncorrected energy: -6.056 eV/atom
# - Crystal system: cubic
# - ΔE_f: 0.17 eV/atom
# - M_tot: 2.2 μB/cell

Record 4
# Ca2BeTeO6, relaxed, DFT PBE
data_Ca2BeTeO6
_chemical_formula_sum 'Ca2 Be1 Te1 O6'
_symmetry_space_group_name_H-M 'P 4 m m'
_symmetry_Int_Tables_number 99
_symmetry_space_group_name_Hall 'P 4 -2'
_cell_length_a 5.116
_cell_length_b 5.116
_cell_length_c 4.750
_cell_angle_alpha 90.00
_cell_angle_beta 90.00
_cell_angle_gamma 90.00
loop_
_atom_site_label
_atom_site_type_symbol
_atom_site_fract_x
_atom_site_fract_y
_atom_site_fract_z
Ca1 Ca 0.000 0.500 0.000
Be1 Be 0.000 0.000 0.505
Te1 Te 0.500 0.500 0.559
O1 O 0.000 0.000 0.183
O2 O 0.246 0.246 0.664
O3 O 0.500 0.500 0.160
# - Uncorrected energy: -6.049 eV/atom
# - Formation energy without anion corrections: -19.9 eV/f.u.
# - Crystal system: tetragonal
# - M_tot: 0.0 μB/cell

Record 5
# GeIr2Rh2, relaxed, DFT PBE
data_GeIr2Rh2
_chemical_formula_sum 'Ge2 Ir4 Rh4'
_symmetry_space_group_name_H-M 'I 4/m m m'
_symmetry_Int_Tables_number 139
_symmetry_space_group_name_Hall '-I 4 2'
_cell_length_a 3.585
_cell_length_b 3.585
_cell_length_c 12.723
_cell_angle_alpha 90.00
_cell_angle_beta 90.00
_cell_angle_gamma 90.00
loop_
_atom_site_label
_atom_site_type_symbol
_atom_site_fract_x
_atom_site_fract_y
_atom_site_fract_z
Ge1 Ge 0.000 0.000 0.000
Ir1 Ir 0.000 0.000 0.401
Rh1 Rh 0.000 0.500 0.250
# - Uncorrected energy: -6.994 eV/atom
# - Crystal system: tetragonal
# - ΔE_f: 0.41 eV/atom
# - M_tot: 0.0 μB/cell

Record 6
# RbCa2Se2, relaxed, DFT PBE
data_RbCa2Se2
_chemical_formula_sum 'Rb2 Ca4 Se4'
_symmetry_space_group_name_H-M 'I 4/m m m'
_symmetry_Int_Tables_number 139
_symmetry_space_group_name_Hall '-I 4 2'
_cell_length_a 5.137
_cell_length_b 5.137
_cell_length_c 15.045
_cell_angle_alpha 90.00
_cell_angle_beta 90.00
_cell_angle_gamma 90.00
loop_
_atom_site_label
_atom_site_type_symbol
_atom_site_fract_x
_atom_site_fract_y
_atom_site_fract_z
Rb1 Rb 0.000 0.000 0.000
Ca1 Ca 0.000 0.500 0.250
Se1 Se 0.000 0.000 0.341
# - Uncorrected energy: -3.697 eV/atom
# - Formation energy without anion corrections: -6.5 eV/f.u.
# - Crystal system: tetragonal
# - M_tot: 0.0 μB/cell

Record 7
# CoPt2Se, relaxed, DFT PBE
data_CoPt2Se
_chemical_formula_sum 'Co1 Pt2 Se1'
_symmetry_space_group_name_H-M 'P 1 m 1'
_symmetry_Int_Tables_number 6
_symmetry_space_group_name_Hall 'P -2y'
_cell_length_a 3.236
_cell_length_b 3.919
_cell_length_c 5.108
_cell_angle_alpha 90.00
_cell_angle_beta 107.91
_cell_angle_gamma 90.00
loop_
_atom_site_label
_atom_site_type_symbol
_atom_site_fract_x
_atom_site_fract_y
_atom_site_fract_z
Co1 Co 0.000 0.000 0.000
Pt1 Pt 0.294 0.000 0.529
Pt2 Pt 0.634 0.500 0.245
Se1 Se 0.058 0.500 0.775
# - Uncorrected energy: -5.484 eV/atom
# - Formation energy without anion corrections: 0.7 eV/f.u.
# - Crystal system: monoclinic
# - M_tot: 1.5 μB/cell

Record 8
# Ac2CeSmSe4, relaxed, DFT PBE
data_Ac2CeSmSe4
_chemical_formula_sum 'Ac2 Ce1 Sm1 Se4'
_symmetry_space_group_name_H-M 'P 1 2/m 1'
_symmetry_Int_Tables_number 10
_symmetry_space_group_name_Hall '-P 2y'
_cell_length_a 7.476
_cell_length_b 4.296
_cell_length_c 7.560
_cell_angle_alpha 90.00
_cell_angle_beta 109.10
_cell_angle_gamma 90.00
loop_
_atom_site_label
_atom_site_type_symbol
_atom_site_fract_x
_atom_site_fract_y
_atom_site_fract_z
Ac1 Ac 0.000 0.000 0.000
Ac2 Ac 0.500 0.500 0.000
Ce1 Ce 0.000 0.500 0.500
Sm1 Sm 0.500 0.000 0.500
Se1 Se 0.245 0.000 0.732
Se2 Se 0.258 0.500 0.269
# - Uncorrected energy: -5.934 eV/atom
# - Formation energy without anion corrections: -14.7 eV/f.u.
# - Crystal system: monoclinic
# - M_tot: 1.0 μB/cell

Record 9
# Ta3Cu, relaxed, DFT PBE
data_Ta3Cu
_chemical_formula_sum 'Ta3 Cu1'
_symmetry_space_group_name_H-M 'P m -3 m'
_symmetry_Int_Tables_number 221
_symmetry_space_group_name_Hall '-P 4 2 3'
_cell_length_a 4.684
_cell_length_b 4.684
_cell_length_c 4.684
_cell_angle_alpha 90.00
_cell_angle_beta 90.00
_cell_angle_gamma 90.00
loop_
_atom_site_label
_atom_site_type_symbol
_atom_site_fract_x
_atom_site_fract_y
_atom_site_fract_z
Ta1 Ta 0.000 0.000 0.500
Cu1 Cu 0.000 0.000 0.000
# - Uncorrected energy: -7.619 eV/atom
# - Crystal system: cubic
# - ΔE_f: 2.29 eV/atom
# - M_tot: 0.0 μB/cell

Record 10
# BaLi2ZnIn4, relaxed, DFT PBE
data_BaLi2ZnIn4
_chemical_formula_sum 'Ba3 Li6 Zn3 In12'
_symmetry_space_group_name_H-M 'R -3 m'
_symmetry_Int_Tables_number 166
_symmetry_space_group_name_Hall '-R 3 2"'
_cell_length_a 4.7981
_cell_length_b 4.7981
_cell_length_c 31.0996
_cell_angle_alpha 90.00
_cell_angle_beta 90.00
_cell_angle_gamma 120.00
loop_
_atom_site_label
_atom_site_type_symbol
_atom_site_fract_x
_atom_site_fract_y
_atom_site_fract_z
Ba1 Ba 0.0000 0.0000 0.0000
Li1 Li 0.0000 0.0000 0.2208
Zn1 Zn 0.0000 0.0000 0.5000
In1 In 0.0000 0.0000 0.1225
In2 In 0.0000 0.0000 0.4076
# - Uncorrected energy: -2.501 eV/atom
# - Crystal system: trigonal
# - ΔE_f: -0.25 eV/atom
# - M_tot: 0.0 μB/cell

Record 11
# Ti8Sb, relaxed, DFT PBE
data_Ti8Sb
_chemical_formula_sum 'Ti16 Sb2'
_symmetry_space_group_name_H-M 'I 4/m m m'
_symmetry_Int_Tables_number 139
_symmetry_space_group_name_Hall '-I 4 2'
_cell_length_a 9.022
_cell_length_b 9.022
_cell_length_c 3.903
_cell_angle_alpha 90.00
_cell_angle_beta 90.00
_cell_angle_gamma 90.00
loop_
_atom_site_label
_atom_site_type_symbol
_atom_site_fract_x
_atom_site_fract_y
_atom_site_fract_z
Ti1 Ti 0.000 0.338 0.000
Ti2 Ti 0.172 0.172 0.500
Sb1 Sb 0.000 0.000 0.000
# - Uncorrected energy: -7.618 eV/atom
# - Formation energy without anion corrections: -1.3 eV/f.u.
# - Crystal system: tetragonal
# - M_tot: 0.0 μB/cell

Record 12
# CaEuRu4, relaxed, DFT PBE
data_CaEuRu4
_chemical_formula_sum 'Ca4 Eu4 Ru16'
_symmetry_space_group_name_H-M 'F -4 3 m'
_symmetry_Int_Tables_number 216
_symmetry_space_group_name_Hall 'F -4 2 3'
_cell_length_a 7.617
_cell_length_b 7.617
_cell_length_c 7.617
_cell_angle_alpha 90.00
_cell_angle_beta 90.00
_cell_angle_gamma 90.00
loop_
_atom_site_label
_atom_site_type_symbol
_atom_site_fract_x
_atom_site_fract_y
_atom_site_fract_z
Ca1 Ca 0.000 0.000 0.000
Eu1 Eu 0.250 0.250 0.250
Ru1 Ru 0.125 0.125 0.625
# - Uncorrected energy: -8.144 eV/atom
# - Crystal system: cubic
# - ΔE_f: 0.09 eV/atom
# - M_tot: 16.0 μB/cell

Record 13
# Nd3Zn2GaRu3, relaxed, DFT PBE
data_Nd3Zn2GaRu3
_chemical_formula_sum 'Nd3 Zn2 Ga1 Ru3'
_symmetry_space_group_name_H-M 'P -6 2 m'
_symmetry_Int_Tables_number 189
_symmetry_space_group_name_Hall 'P -6 -2'
_cell_length_a 7.4893
_cell_length_b 7.4893
_cell_length_c 3.7054
_cell_angle_alpha 90.00
_cell_angle_beta 90.00
_cell_angle_gamma 120.00
loop_
_atom_site_label
_atom_site_type_symbol
_atom_site_fract_x
_atom_site_fract_y
_atom_site_fract_z
Nd1 Nd 0.0000 0.3841 0.0000
Zn1 Zn 0.3333 0.6667 0.5000
Ga1 Ga 0.0000 0.0000 0.0000
Ru1 Ru 0.0000 0.7522 0.5000
# - Uncorrected energy: -5.514 eV/atom
# - Crystal system: hexagonal
# - ΔE_f: -0.21 eV/atom
# - M_tot: 0.0 μB/cell

Record 14
# Li2AcNi2, relaxed, DFT PBE
data_Li2AcNi2
_chemical_formula_sum 'Li4 Ac2 Ni4'
_symmetry_space_group_name_H-M 'I 4/m m m'
_symmetry_Int_Tables_number 139
_symmetry_space_group_name_Hall '-I 4 2'
_cell_length_a 4.073
_cell_length_b 4.073
_cell_length_c 11.504
_cell_angle_alpha 90.00
_cell_angle_beta 90.00
_cell_angle_gamma 90.00
loop_
_atom_site_label
_atom_site_type_symbol
_atom_site_fract_x
_atom_site_fract_y
_atom_site_fract_z
Li1 Li 0.000 0.500 0.250
Ac1 Ac 0.000 0.000 0.000
Ni1 Ni 0.000 0.000 0.400
# - Uncorrected energy: -4.002 eV/atom
# - Crystal system: tetragonal
# - ΔE_f: -0.10 eV/atom
# - M_tot: 0.0 μB/cell

Record 15
# RbAlSe2, relaxed, DFT PBE
data_RbAlSe2
_chemical_formula_sum 'Rb2 Al2 Se4'
_symmetry_space_group_name_H-M 'P 1'
_symmetry_Int_Tables_number 1
_symmetry_space_group_name_Hall 'P 1'
_cell_length_a 6.176
_cell_length_b 7.525
_cell_length_c 7.526
_cell_angle_alpha 61.29
_cell_angle_beta 81.49
_cell_angle_gamma 81.52
loop_
_atom_site_label
_atom_site_type_symbol
_atom_site_fract_x
_atom_site_fract_y
_atom_site_fract_z
Rb1 Rb 0.000 0.000 0.000
Rb2 Rb 0.419 0.339 0.338
Al1 Al 0.209 0.770 0.568
Al2 Al 0.709 0.771 0.568
Se1 Se 0.420 0.717 0.836
Se2 Se 0.495 0.847 0.290
Se3 Se 0.924 0.048 0.492
Se4 Se 0.998 0.503 0.620
# - Uncorrected energy: -4.072 eV/atom
# - Formation energy without anion corrections: -4.6 eV/f.u.
# - Crystal system: triclinic
# - M_tot: 0.0 μB/cell

Record 16
# Zr2NbAu, relaxed, DFT PBE
data_Zr2NbAu
_chemical_formula_sum 'Zr8 Nb4 Au4'
_symmetry_space_group_name_H-M 'I -4 2 d'
_symmetry_Int_Tables_number 122
_symmetry_space_group_name_Hall 'I -4 2bw'
_cell_length_a 4.166
_cell_length_b 4.166
_cell_length_c 19.858
_cell_angle_alpha 90.00
_cell_angle_beta 90.00
_cell_angle_gamma 90.00
loop_
_atom_site_label
_atom_site_type_symbol
_atom_site_fract_x
_atom_site_fract_y
_atom_site_fract_z
Zr1 Zr 0.246 0.250 0.125
Nb1 Nb 0.000 0.000 0.000
Au1 Au 0.000 0.000 0.500
# - Uncorrected energy: -7.281 eV/atom
# - Crystal system: tetragonal
# - ΔE_f: 0.33 eV/atom
# - M_tot: 0.0 μB/cell

Record 17
# SmY2Tm, relaxed, DFT PBE
data_SmY2Tm
_chemical_formula_sum 'Sm1 Y2 Tm1'
_symmetry_space_group_name_H-M 'P 4/m m m'
_symmetry_Int_Tables_number 123
_symmetry_space_group_name_Hall '-P 4 2'
_cell_length_a 5.037
_cell_length_b 5.037
_cell_length_c 5.053
_cell_angle_alpha 90.00
_cell_angle_beta 90.00
_cell_angle_gamma 90.00
loop_
_atom_site_label
_atom_site_type_symbol
_atom_site_fract_x
_atom_site_fract_y
_atom_site_fract_z
Sm1 Sm 0.000 0.000 0.000
Y1 Y 0.000 0.500 0.500
Tm1 Tm 0.500 0.500 0.000
# - Uncorrected energy: -5.504 eV/atom
# - Crystal system: tetragonal
# - ΔE_f: 0.03 eV/atom
# - M_tot: 0.0 μB/cell

Record 18
# Pr2NdErS5, relaxed, DFT PBE
data_Pr2NdErS5
_chemical_formula_sum 'Pr2 Nd1 Er1 S5'
_symmetry_space_group_name_H-M 'P 4/m m m'
_symmetry_Int_Tables_number 123
_symmetry_space_group_name_Hall '-P 4 2'
_cell_length_a 4.851
_cell_length_b 4.851
_cell_length_c 10.498
_cell_angle_alpha 90.00
_cell_angle_beta 90.00
_cell_angle_gamma 90.00
loop_
_atom_site_label
_atom_site_type_symbol
_atom_site_fract_x
_atom_site_fract_y
_atom_site_fract_z
Pr1 Pr 0.000 0.000 0.193
Nd1 Nd 0.500 0.500 0.500
Er1 Er 0.500 0.500 0.000
S1 S 0.000 0.000 0.500
S2 S 0.000 0.500 0.000
S3 S 0.500 0.500 0.249
# - Uncorrected energy: -5.910 eV/atom
# - Formation energy without anion corrections: -13.7 eV/f.u.
# - Crystal system: tetragonal
# - M_tot: 0.0 μB/cell

Record 19
# Pm3H12Au5, relaxed, DFT PBE
data_Pm3H12Au5
_chemical_formula_sum 'Pm24 H96 Au40'
_symmetry_space_group_name_H-M 'I a -3 d'
_symmetry_Int_Tables_number 230
_symmetry_space_group_name_Hall '-I 4bd 2c 3'
_cell_length_a 12.437
_cell_length_b 12.437
_cell_length_c 12.437
_cell_angle_alpha 90.00
_cell_angle_beta 90.00
_cell_angle_gamma 90.00
loop_
_atom_site_label
_atom_site_type_symbol
_atom_site_fract_x
_atom_site_fract_y
_atom_site_fract_z
Pm1 Pm 0.000 0.250 0.125
H1 H 0.028 0.054 0.652
Au1 Au 0.000 0.000 0.000
Au2 Au 0.000 0.250 0.375
# - Uncorrected energy: -3.685 eV/atom
# - Crystal system: cubic
# - M_tot: 0.0 μB/cell

Record 20
# MoIrW3, relaxed, DFT PBE
data_MoIrW3
_chemical_formula_sum 'Mo1 Ir1 W3'
_symmetry_space_group_name_H-M 'P m -3 m'
_symmetry_Int_Tables_number 221
_symmetry_space_group_name_Hall '-P 4 2 3'
_cell_length_a 4.632
_cell_length_b 4.632
_cell_length_c 4.632
_cell_angle_alpha 90.00
_cell_angle_beta 90.00
_cell_angle_gamma 90.00
loop_
_atom_site_label
_atom_site_type_symbol
_atom_site_fract_x
_atom_site_fract_y
_atom_site_fract_z
Mo1 Mo 0.000 0.000 0.000
Ir1 Ir 0.500 0.500 0.500
W1 W 0.000 0.000 0.500
# - Uncorrected energy: -9.473 eV/atom
# - Crystal system: cubic
# - ΔE_f: 2.24 eV/atom
# - M_tot: 0.0 μB/cell

Record 21
# Rb2SrPt2, relaxed, DFT PBE
data_Rb2SrPt2
_chemical_formula_sum 'Rb4 Sr2 Pt4'
_symmetry_space_group_name_H-M 'P 4/m b m'
_symmetry_Int_Tables_number 127
_symmetry_space_group_name_Hall '-P 4 2ab'
_cell_length_a 7.804
_cell_length_b 7.804
_cell_length_c 5.550
_cell_angle_alpha 90.00
_cell_angle_beta 90.00
_cell_angle_gamma 90.00
loop_
_atom_site_label
_atom_site_type_symbol
_atom_site_fract_x
_atom_site_fract_y
_atom_site_fract_z
Rb1 Rb 0.162 0.338 0.000
Sr1 Sr 0.000 0.000 0.500
Pt1 Pt 0.119 0.619 0.500
# - Uncorrected energy: -3.214 eV/atom
# - Crystal system: tetragonal
# - ΔE_f: -0.07 eV/atom
# - M_tot: 0.0 μB/cell